Compound: TlMoO4
Source: Alexandria
Functional: PBE with a Hubbard U
Structure: relaxed

Unit cell a=5.458 b=5.457 c=7.140 alpha=112.47 beta=112.48 gamma=89.98
Fractional positions:
1 Tl 0.625 0.875 0.250
2 Tl 0.375 0.125 0.750
3 O 0.807 0.144 0.083
4 O 0.356 0.224 0.416
5 O 0.644 0.776 0.584
6 O 0.060 0.692 0.416
7 O 0.724 0.560 0.917
8 O 0.940 0.308 0.584
9 O 0.193 0.856 0.917
10 O 0.276 0.440 0.083
11 Mo 0.125 0.375 0.250
12 Mo 0.875 0.625 0.750

Summary:
- Symmetry: I4_1/a, No. 88
- Total magnetization: 0.00 μB/f.u.
- N(E_F): 1.5 states/eV/f.u.
- ΔE to the lowest computed polymorph: 0 meV per atom
- E_tot: -0.22554 hartree per atom